1.
SmDyAgSb | PBE | optimized geometry

Cell lengths 5.2718, 5.2718, 5.2718 Å; angles 60.00, 60.00, 60.00 degrees
With the nearest neighbours (Å) after each atom.
Fractional coordinates of all 4 atoms:
Sb 0.7500 0.7500 0.7500  4 Dy 3.23, 4 Sm 3.23
Ag 0.2500 0.2500 0.2500  4 Sm 3.23, 4 Dy 3.23
Sm 0.5000 0.5000 0.5000  4 Sb 3.23, 4 Ag 3.23
Dy 0.0000 0.0000 0.0000  4 Ag 3.23, 4 Sb 3.23

Properties
Volume, Å³/cell: 103.6
ΔE_f (raw), eV/atom: -0.56
D(E_F), states/eV per atom: 1.251
ρ, Mg/m³: 8.70
Symmetry: F-43m, No. 216



2.
LaPuCd2 | PBE | optimized geometry

Cell lengths 3.2978, 3.2978, 9.8621 Å; angles 90.00, 90.00, 90.00 degrees
With the nearest neighbours (Å) after each atom.
Fractional coordinates of all 4 atoms:
Cd 0.0000 0.0000 0.7563  4 Cd 3.30, 4 Pu 3.35, 4 La 3.44
La 0.5000 0.5000 0.5000  4 La 3.30, 8 Cd 3.44
Cd 0.0000 0.0000 0.2437  4 Cd 3.30, 4 Pu 3.35, 4 La 3.44
Pu 0.5000 0.5000 0.0000  4 Pu 3.30, 8 Cd 3.35

Properties
Volume, Å³/cell: 107.3
Energy above the lowest structure with this stoichiometry, eV/atom: 0.000
Formation energy from the elements, eV/atom: -0.132
D(E_F), states/eV per atom: 2.133
ρ, Mg/m³: 9.41
Symmetry: P4/mmm, No. 123



3.
Er4InGaO | PBE | optimized geometry

Cell lengths 6.4166, 6.4330, 8.6292 Å; angles 90.00, 111.83, 90.00 degrees
With the nearest neighbours (Å) after each atom.
Fractional coordinates of all 14 atoms:
Ga 0.1174 0.2500 0.2349  9 Er 2.98-3.31
In 0.3906 0.2500 0.7813  9 Er 3.09-3.27
In 0.6094 0.7500 0.2187  9 Er 3.09-3.27
Er 0.9314 0.2500 0.8627  3 Ga 2.98-3.31, 1 O 3.08, 2 In 3.27
Er 0.0000 0.0000 0.5000  2 O 2.28
Er 0.4163 0.7500 0.8326  1 O 2.49
Ga 0.8826 0.7500 0.7651  9 Er 2.98-3.31
O 0.7389 0.2500 0.4777  5 Er 2.28-2.49
Er 0.0000 0.5000 0.5000  2 O 2.28
Er 0.0686 0.7500 0.1373  3 Ga 2.98-3.31, 1 O 3.08, 2 In 3.27
Er 0.5000 0.0000 0.5000  2 O 2.28
Er 0.5837 0.2500 0.1674  1 O 2.49
Er 0.5000 0.5000 0.5000  2 O 2.28
O 0.2611 0.7500 0.5223  5 Er 2.28-2.49

Properties
Volume, Å³/cell: 330.7
ΔE_f (raw), eV/atom: -1.13
D(E_F), states/eV per atom: 0.283
ρ, Mg/m³: 8.73
Symmetry: Cmcm, No. 63



4.
AcSnP2 | PBE | optimized geometry

Cell lengths 4.2862, 4.2862, 7.1820 Å; angles 72.64, 72.64, 60.00 degrees
With the nearest neighbours (Å) after each atom.
Fractional coordinates of all 4 atoms:
Ac 0.5000 0.5000 0.5000  6 P 3.07
P 0.7439 0.7439 0.7684  3 Sn 2.93, 3 Ac 3.07
P 0.2561 0.2561 0.2316  3 Sn 2.93, 3 Ac 3.07
Sn 0.0000 0.0000 0.0000  6 P 2.93

Properties
Volume, Å³/cell: 107.3
Energy above the lowest structure with this stoichiometry, eV/atom: 0.000
Formation energy from the elements, eV/atom: -0.536
D(E_F), states/eV per atom: 0.954
ρ, Mg/m³: 6.31
Symmetry: R-3m, No. 166



5.
Pr2PdSe3 | PBE | optimized geometry

Cell lengths 4.2035, 8.5443, 16.5864 Å; angles 90.00, 90.00, 90.00 degrees
With the nearest neighbours (Å) after each atom.
Fractional coordinates of all 24 atoms:
Pr 0.2500 0.2239 0.9773  7 Se 2.97-3.30
Pr 0.7500 0.0862 0.7148  7 Se 3.05-3.16
Se 0.7500 0.4027 0.0736  1 Pd 2.55
Se 0.2500 0.8097 0.7156  1 Pd 2.66
Se 0.7500 0.1903 0.2844  1 Pd 2.66
Pr 0.2500 0.9138 0.2852  7 Se 3.05-3.16
Se 0.7500 0.9027 0.4264  1 Pd 2.55
Se 0.2500 0.0973 0.5736  1 Pd 2.55
Pd 0.7500 0.1237 0.1276  4 Se 2.54-2.66
Pr 0.7500 0.7761 0.0227  7 Se 2.97-3.30
Se 0.2500 0.4643 0.3966  2 Pd 2.54
Pd 0.2500 0.3763 0.6276  4 Se 2.54-2.66
Se 0.7500 0.5357 0.6034  2 Pd 2.54
Se 0.2500 0.3097 0.7844  1 Pd 2.66
Pr 0.2500 0.4138 0.2148  7 Se 3.05-3.16
Pd 0.2500 0.8763 0.8724  4 Se 2.54-2.66
Pr 0.7500 0.2761 0.4773  7 Se 2.97-3.30
Se 0.7500 0.6903 0.2156  1 Pd 2.66
Pd 0.7500 0.6237 0.3724  4 Se 2.54-2.66
Pr 0.2500 0.7239 0.5227  7 Se 2.97-3.30
Pr 0.7500 0.5862 0.7852  7 Se 3.05-3.16
Se 0.2500 0.5973 0.9264  1 Pd 2.55
Se 0.7500 0.0357 0.8966  2 Pd 2.54
Se 0.2500 0.9643 0.1034  2 Pd 2.54

Properties
Volume, Å³/cell: 595.7
ΔE_f (raw), eV/atom: -1.54
D(E_F), states/eV per atom: 0.052
ρ, Mg/m³: 6.97
Symmetry: Pnma, No. 62



6.
La4CeY3Se8 | PBE | optimized geometry

Cell lengths 8.4030, 8.4594, 8.4033 Å; angles 119.78, 120.00, 90.00 degrees
With the nearest neighbours (Å) after each atom.
Fractional coordinates of all 16 atoms:
Se 0.7525 0.2651 0.5049  2 Y 2.91, 1 Ce 2.95, 3 La 3.01-3.06
Se 0.2471 0.7351 0.9878  2 Y 2.91, 1 Ce 2.95, 3 La 3.02-3.06
La 0.0000 0.0000 0.0000  6 Se 3.05-3.06
Y 0.0000 0.5000 0.5000  6 Se 2.91
Se 0.2475 0.7349 0.4951  2 Y 2.91, 1 Ce 2.95, 3 La 3.01-3.06
La 0.5000 0.0000 0.0000  6 Se 3.01-3.02
Y 0.5000 0.5000 0.0000  6 Se 2.91
Ce 0.0000 0.5000 0.0000  6 Se 2.95
La 0.0000 0.0000 0.5000  6 Se 3.05-3.06
Se 0.2592 0.2649 0.0122  2 Y 2.91, 1 Ce 2.95, 3 La 3.02-3.06
Se 0.7408 0.7351 0.9878  2 Y 2.91, 1 Ce 2.95, 3 La 3.02-3.06
Se 0.7529 0.2649 0.0122  2 Y 2.91, 1 Ce 2.95, 3 La 3.02-3.06
La 0.5000 0.0000 0.5000  6 Se 3.05-3.06
Y 0.5000 0.5000 0.5000  6 Se 2.91
Se 0.2563 0.2680 0.5125  3 Y 2.91, 3 La 3.05-3.06
Se 0.7437 0.7320 0.4875  3 Y 2.91, 3 La 3.05-3.06

Properties
Volume, Å³/cell: 423.8
ΔE_f (raw), eV/atom: -1.89
D(E_F), states/eV per atom: 0.862
ρ, Mg/m³: 6.25
Symmetry: R-3m, No. 166



7.
RbTbGeS4 | PBE | optimized geometry

Cell lengths 6.5274, 6.7543, 9.1315 Å; angles 90.00, 107.78, 90.00 degrees
With the nearest neighbours (Å) after each atom.
Fractional coordinates of all 14 atoms:
S 0.9956 0.0039 0.2995  1 Ge 2.24
Ge 0.2270 0.7500 0.3342  4 S 2.20-2.24
S 0.0044 0.5039 0.7005  1 Ge 2.24
S 0.9956 0.4961 0.2995  1 Ge 2.24
S 0.4382 0.7500 0.5752  1 Ge 2.21
Rb 0.2638 0.2500 0.0621  8 S 3.29-3.65
Ge 0.7730 0.2500 0.6658  4 S 2.20-2.24
S 0.5618 0.2500 0.4248  1 Ge 2.21
Tb 0.7759 0.7500 0.4507  6 S 2.77-2.85
Rb 0.7362 0.7500 0.9379  8 S 3.29-3.65
Tb 0.2241 0.2500 0.5493  6 S 2.77-2.85
S 0.5726 0.2500 0.8207  1 Ge 2.20
S 0.0044 0.9961 0.7005  1 Ge 2.24
S 0.4274 0.7500 0.1793  1 Ge 2.20

Properties
Volume, Å³/cell: 383.4
ΔE_f (raw), eV/atom: -1.25
D(E_F), states/eV per atom: 0.000
ρ, Mg/m³: 3.86
Symmetry: P2_1/m, No. 11



8.
Ce2PmDy3Bi6 | PBE | optimized geometry

Cell lengths 4.5419, 9.0643, 10.1325 Å; angles 102.78, 102.95, 90.00 degrees
With the nearest neighbours (Å) after each atom.
Fractional coordinates of all 12 atoms:
Ce 0.1663 0.3322 0.3325  6 Bi 3.22-3.24
Dy 0.5000 0.5000 0.0000  6 Bi 3.18
Bi 0.0013 0.7460 0.0026  3 Dy 3.17-3.18, 1 Ce 3.22, 2 Pm 3.24
Dy 0.1662 0.8336 0.3323  6 Bi 3.17-3.19
Bi 0.6683 0.0796 0.3365  3 Dy 3.18-3.19, 2 Ce 3.23, 1 Pm 3.24
Bi 0.3348 0.4132 0.6696  3 Dy 3.18, 3 Ce 3.24
Bi 0.9987 0.2540 0.9974  3 Dy 3.17-3.18, 1 Ce 3.22, 2 Pm 3.24
Dy 0.8338 0.1664 0.6677  6 Bi 3.17-3.19
Bi 0.6652 0.5868 0.3304  3 Dy 3.18, 3 Ce 3.24
Ce 0.8337 0.6678 0.6675  6 Bi 3.22-3.24
Bi 0.3317 0.9204 0.6635  3 Dy 3.18-3.19, 2 Ce 3.23, 1 Pm 3.24
Pm 0.5000 0.0000 0.0000  6 Bi 3.24

Properties
Volume, Å³/cell: 395.9
Formation energy from the elements, eV/atom: -0.852
D(E_F), states/eV per atom: 1.133
ρ, Mg/m³: 9.09
Symmetry: C2/m, No. 12



9.
LiGd2O | PBE | optimized geometry

Cell lengths 3.5024, 3.5024, 9.4097 Å; angles 79.27, 79.27, 60.00 degrees
With the nearest neighbours (Å) after each atom.
Fractional coordinates of all 4 atoms:
Gd 0.8824 0.8824 0.3529  3 O 2.43
O 0.5000 0.5000 0.5000  6 Gd 2.43
Li 0.0000 0.0000 0.0000  2 Gd 3.24, 6 Li 3.50
Gd 0.1176 0.1176 0.6471  3 O 2.43

Properties
Volume, Å³/cell: 97.6
ΔE_f (raw), eV/atom: -1.14
D(E_F), states/eV per atom: 0.782
ρ, Mg/m³: 5.74
Symmetry: R-3m, No. 166



10.
Ta2BeHOs | PBE | optimized geometry

Cell lengths 4.1129, 4.1129, 3.6891 Å; angles 90.00, 90.00, 90.00 degrees
With the nearest neighbours (Å) after each atom.
Fractional coordinates of all 5 atoms:
Be 0.0000 0.0000 0.5000  2 H 1.84
Ta 0.5000 0.0000 0.0000  2 H 2.06
Ta 0.0000 0.5000 0.0000  2 H 2.06
H 0.0000 0.0000 0.0000  2 Be 1.84, 4 Ta 2.06
Os 0.5000 0.5000 0.5000  8 Ta 2.76, 4 Be 2.91

Properties
Volume, Å³/cell: 62.4
Energy above the lowest structure with this stoichiometry, eV/atom: 0.000
D(E_F), states/eV per atom: 0.450
ρ, Mg/m³: 14.96
Symmetry: P4/mmm, No. 123



11.
BaMg2Mo | PBE | optimized geometry

Cell lengths 5.2838, 5.2838, 10.7684 Å; angles 75.80, 75.80, 90.00 degrees
With the nearest neighbours (Å) after each atom.
Fractional coordinates of all 8 atoms:
Ba 0.7500 0.2500 0.5000  4 Mg 3.64, 4 Mo 3.74
Mg 0.8750 0.6975 0.7500  2 Mg 2.75, 2 Mo 2.88
Mo 0.5000 0.5000 0.0000  4 Mg 2.88
Mo 0.2500 0.7500 0.5000  4 Mg 2.88
Mg 0.3025 0.6250 0.2500  2 Mg 2.75, 2 Mo 2.88
Ba 0.0000 0.0000 0.0000  4 Mg 3.64, 4 Mo 3.74
Mg 0.4475 0.1250 0.2500  2 Mg 2.75, 2 Mo 2.88
Mg 0.3750 0.5525 0.7500  2 Mg 2.75, 2 Mo 2.88

Properties
Volume, Å³/cell: 282.0
Energy above the lowest structure with this stoichiometry, eV/atom: 0.435
Formation energy from the elements, eV/atom: 0.957
D(E_F), states/eV per atom: 1.024
ρ, Mg/m³: 3.32
Symmetry: I-42d, No. 122



12.
RbCCl2 | PBE | optimized geometry

Cell lengths 8.5769, 8.5769, 8.5769 Å; angles 27.51, 27.51, 27.51 degrees
With the nearest neighbours (Å) after each atom.
Fractional coordinates of all 4 atoms:
Rb 0.0000 0.0000 0.0000  2 Cl 3.00
C 0.5000 0.5000 0.5000  6 Cl 2.61
Cl 0.8787 0.8787 0.8787  3 C 2.61
Cl 0.1213 0.1213 0.1213  3 C 2.61

Properties
Volume, Å³/cell: 118.8
Energy above the lowest structure with this stoichiometry, eV/atom: 0.541
ΔE_f (raw), eV/atom: 0.96
D(E_F), states/eV per atom: 0.367
ρ, Mg/m³: 2.35
Symmetry: R-3m, No. 166



13.
LiIn2Ag2 | PBE | optimized geometry

Cell lengths 4.3260, 4.3260, 7.1715 Å; angles 72.45, 72.45, 90.00 degrees
With the nearest neighbours (Å) after each atom.
Fractional coordinates of all 5 atoms:
In 0.2500 0.7500 0.5000  4 Ag 2.88, 4 In 3.06
Ag 0.3969 0.3969 0.2062  1 Ag 2.68, 4 In 2.88
In 0.7500 0.2500 0.5000  4 Ag 2.88, 4 In 3.06
Ag 0.6031 0.6031 0.7938  1 Ag 2.68, 4 In 2.88
Li 0.0000 0.0000 0.0000  8 Ag 3.34

Properties
Volume, Å³/cell: 121.4
Energy above the lowest structure with this stoichiometry, eV/atom: 0.209
Formation energy from the elements, eV/atom: 0.056
D(E_F), states/eV per atom: 0.474
ρ, Mg/m³: 6.19
Symmetry: I4/mmm, No. 139



14.
BeSnAu3 | PBE | optimized geometry

Cell lengths 4.9628, 6.5351, 6.5349 Å; angles 119.99, 89.99, 90.00 degrees
With the nearest neighbours (Å) after each atom.
Fractional coordinates of all 10 atoms:
Be 0.5000 0.0000 0.0000  6 Au 2.40, 2 Be 2.48
Sn 0.7499 0.6667 0.3334  12 Au 3.02-3.27
Au 0.2500 0.3635 0.1817  2 Be 2.40
Au 0.7500 0.1818 0.3635  2 Be 2.40
Au 0.2500 0.8182 0.1817  2 Be 2.40
Au 0.7500 0.6365 0.8183  2 Be 2.40
Au 0.2500 0.8182 0.6365  2 Be 2.40
Au 0.7500 0.1818 0.8183  2 Be 2.40
Sn 0.2501 0.3333 0.6666  12 Au 3.02-3.27
Be 0.0000 0.0000 0.0000  6 Au 2.40, 2 Be 2.48

Properties
Volume, Å³/cell: 183.6
Energy above the lowest structure with this stoichiometry, eV/atom: 0.000
Formation energy from the elements, eV/atom: -0.067
D(E_F), states/eV per atom: 0.205
ρ, Mg/m³: 13.00
Symmetry: P6_3/mmc, No. 194



15.
Pr2NdDy2Y4 | PBE | optimized geometry

Cell lengths 6.9083, 10.0451, 6.6849 Å; angles 121.36, 127.15, 59.08 degrees
With the nearest neighbours (Å) after each atom.
Fractional coordinates of all 9 atoms:
Y 0.2569 0.1145 0.7947  4 Y 3.41-3.79, 2 Pr 3.43-3.78, 2 Dy 3.56-3.75, 1 Nd 3.61
Dy 0.1771 0.5536 0.9642  5 Y 3.45-3.75, 2 Dy 3.47-3.78, 4 Pr 3.47-3.56
Y 0.3865 0.2400 0.4971  1 Nd 3.40, 3 Dy 3.45-3.58, 3 Y 3.48-3.79, 3 Pr 3.51-3.79
Y 0.6135 0.7600 0.5029  1 Nd 3.40, 3 Dy 3.45-3.58, 3 Y 3.48-3.79, 3 Pr 3.51-3.79
Pr 0.2724 0.6566 0.6049  5 Y 3.43-3.79, 4 Dy 3.47-3.56, 1 Nd 3.50, 1 Pr 3.51
Dy 0.8229 0.4464 0.0358  5 Y 3.45-3.75, 2 Dy 3.47-3.78, 4 Pr 3.47-3.56
Nd 0.0000 0.0000 0.0000  4 Y 3.40-3.61, 2 Pr 3.50
Y 0.7431 0.8855 0.2053  4 Y 3.41-3.79, 2 Pr 3.43-3.78, 2 Dy 3.56-3.75, 1 Nd 3.61
Pr 0.7276 0.3434 0.3951  5 Y 3.43-3.79, 4 Dy 3.47-3.56, 1 Nd 3.50, 1 Pr 3.51

Properties
Volume, Å³/cell: 301.9
Formation energy from the elements, eV/atom: 0.079
D(E_F), states/eV per atom: 1.627
ρ, Mg/m³: 6.09
Symmetry: P-1, No. 2



16.
MnFeIr2 | PBE | optimized geometry

Cell lengths 4.5396, 4.5396, 4.6538 Å; angles 80.11, 80.11, 34.48 degrees
With the nearest neighbours (Å) after each atom.
Fractional coordinates of all 4 atoms:
Ir 0.4990 0.4990 0.4999  3 Fe 2.63-2.64, 3 Mn 2.63-2.65, 6 Ir 2.68-2.69
Ir 0.0010 0.0010 0.0001  3 Fe 2.63-2.64, 3 Mn 2.63-2.65, 6 Ir 2.68-2.69
Fe 0.2500 0.2500 0.2500  6 Ir 2.63-2.64, 4 Mn 2.69, 2 Fe 2.69
Mn 0.7500 0.7500 0.7500  6 Ir 2.63-2.65, 4 Fe 2.69, 2 Mn 2.69

Properties
Volume, Å³/cell: 53.4
Energy above the lowest structure with this stoichiometry, eV/atom: 0.169
Formation energy from the elements, eV/atom: -0.021
D(E_F), states/eV per atom: 1.408
ρ, Mg/m³: 15.40
Symmetry: C2/m, No. 12



17.
MgZrOs3 | PBE | optimized geometry

Cell lengths 4.4669, 4.4669, 4.4669 Å; angles 90.00, 90.00, 90.00 degrees
With the nearest neighbours (Å) after each atom.
Fractional coordinates of all 5 atoms:
Zr 0.5000 0.5000 0.5000  12 Os 3.16
Os 0.0000 0.0000 0.5000  2 Mg 2.23
Os 0.5000 0.0000 0.0000  2 Mg 2.23
Mg 0.0000 0.0000 0.0000  6 Os 2.23
Os 0.0000 0.5000 0.0000  2 Mg 2.23

Properties
Volume, Å³/cell: 89.1
Energy above the lowest structure with this stoichiometry, eV/atom: 0.000
Formation energy from the elements, eV/atom: 1.508
D(E_F), states/eV per atom: 0.991
ρ, Mg/m³: 12.78
Symmetry: Pm-3m, No. 221



18.
AgAuO2 | PBE | optimized geometry

Cell lengths 6.4034, 6.4034, 6.4034 Å; angles 136.02, 136.02, 63.94 degrees
With the nearest neighbours (Å) after each atom.
Fractional coordinates of all 8 atoms:
Ag 0.7500 0.2500 0.5000  4 O 2.25
O 0.3750 0.4048 0.5298  2 Au 2.10, 2 Ag 2.25
O 0.8750 0.8452 0.4702  2 Au 2.10, 2 Ag 2.25
Au 0.5000 0.5000 0.0000  4 O 2.10
Ag 0.0000 0.0000 0.0000  4 O 2.25
O 0.5952 0.6250 0.4702  2 Au 2.10, 2 Ag 2.25
Au 0.2500 0.7500 0.5000  4 O 2.10
O 0.1548 0.1250 0.5298  2 Au 2.10, 2 Ag 2.25

Properties
Volume, Å³/cell: 124.9
ΔE_f (raw), eV/atom: -0.08
D(E_F), states/eV per atom: 0.309
ρ, Mg/m³: 8.96
Symmetry: I4_122, No. 98



19.
BaSn12Ir4 | PBE | optimized geometry

Cell lengths 8.2698, 8.2698, 8.2698 Å; angles 109.47, 109.47, 109.47 degrees
With the nearest neighbours (Å) after each atom.
Fractional coordinates of all 17 atoms:
Ir 0.0000 0.0000 0.5000  6 Sn 2.67
Ir 0.0000 0.5000 0.0000  6 Sn 2.67
Sn 0.4936 0.8355 0.6580  2 Ir 2.67
Ir 0.5000 0.0000 0.0000  6 Sn 2.67
Sn 0.6580 0.8225 0.1645  2 Ir 2.67
Sn 0.3420 0.1775 0.8355  2 Ir 2.67
Sn 0.8355 0.3420 0.1775  2 Ir 2.67
Sn 0.1645 0.6580 0.8225  2 Ir 2.67
Ir 0.5000 0.5000 0.5000  6 Sn 2.67
Sn 0.1775 0.8355 0.3420  2 Ir 2.67
Sn 0.1645 0.3420 0.5064  2 Ir 2.67
Sn 0.8355 0.6580 0.4936  2 Ir 2.67
Ba 0.0000 0.0000 0.0000  12 Sn 3.62
Sn 0.8225 0.1645 0.6580  2 Ir 2.67
Sn 0.3420 0.5064 0.1645  2 Ir 2.67
Sn 0.5064 0.1645 0.3420  2 Ir 2.67
Sn 0.6580 0.4936 0.8355  2 Ir 2.67

Properties
Volume, Å³/cell: 435.4
Formation energy from the elements, eV/atom: -0.224
D(E_F), states/eV per atom: 0.906
ρ, Mg/m³: 8.89
Symmetry: Im-3, No. 204



20.
TlSi2Bi | PBE | optimized geometry

Cell lengths 5.1418, 5.1418, 5.1418 Å; angles 60.00, 60.00, 60.00 degrees
With the nearest neighbours (Å) after each atom.
Fractional coordinates of all 4 atoms:
Si 0.7500 0.7500 0.7500  4 Tl 3.15, 4 Bi 3.15
Tl 0.0000 0.0000 0.0000  8 Si 3.15
Bi 0.5000 0.5000 0.5000  8 Si 3.15
Si 0.2500 0.2500 0.2500  4 Bi 3.15, 4 Tl 3.15

Properties
Volume, Å³/cell: 96.1
Energy above the lowest structure with this stoichiometry, eV/atom: 0.133
ΔE_f (raw), eV/atom: 0.62
D(E_F), states/eV per atom: 0.591
ρ, Mg/m³: 8.11
Symmetry: Fm-3m, No. 225